Entry 1:
YCdSN2 (PBE, optimized geometry); crystal system = tetragonal; energy above the lowest structure with this stoichiometry = 0.092 eV/atom; density of states at the Fermi level = 0.581 states/eV per atom; formation energy from raw total energies = 3.50 eV per formula unit
1.0
-2.368 -0.530 -3.424
3.455 -0.681 -2.284
-0.316 -4.857 0.970
S N Cd Y
1 2 1 1
Cartesian
-0.158 -2.429 0.485 S
-1.184 -0.265 -1.712 N
1.727 -0.340 -1.142 N
0.000 0.000 0.000 Cd
0.386 -3.034 -2.369 Y



Entry 2:
CeSiTc (PBE, optimized geometry); crystal system = triclinic; energy above the lowest structure with this stoichiometry = 0.108 eV/atom; density of states at the Fermi level = 0.916 states/eV per atom; formation energy from raw total energies = -1.44 eV per formula unit
1.0
-2.496 -3.354 1.120
0.538 -1.363 5.707
-4.193 2.101 2.110
Si Tc Ce
2 2 2
Cartesian
-3.246 -2.516 2.086 Si
-2.905 -0.100 6.850 Si
-2.213 -0.344 2.643 Tc
-3.939 -2.273 6.294 Tc
-4.256 -0.093 3.960 Ce
-1.895 -2.523 4.977 Ce